# 1
Entry from Alexandria: a relaxed Mg3GeW crystal (PBE).

extended XYZ file:
```
5
Lattice="4.970 0.000 0.000 0.000 4.970 0.000 0.000 0.000 4.970" Properties=species:S:1:pos:R:3 pbc="T T T"
Mg 0.000 0.000 2.485
Mg 0.000 2.485 0.000
Mg 2.485 0.000 0.000
Ge 0.000 0.000 0.000
W 2.485 2.485 2.485
```

Electronic total energy, eV per atom: -3.269
Formation enthalpy at 0 K, eV/f.u.: 6.01
Density, g/cm³: 4.46
Volume, Å³ per atom: 24.554



# 2
Entry from Alexandria: a relaxed ZnBr crystal (PBE).

extended XYZ file:
```
4
Lattice="3.654 0.000 0.000 -1.827 3.165 0.000 0.000 0.000 8.982" Properties=species:S:1:pos:R:3 pbc="T T T"
Zn 0.000 2.110 1.036
Zn 1.827 1.055 7.946
Br 0.000 2.110 6.355
Br 1.827 1.055 2.627
```

Electronic total energy, eV per atom: -1.786
Density, g/cm³: 4.65
Volume, Å³ per atom: 25.966